[1]
First-principles (PBE-GGA) data for crystalline LiReNi at its relaxed geometry, as listed in the Alexandria database.

Lattice parameters (Å, degrees): 5.9365 5.9365 5.9365 154.31 154.31 36.65
Fractional positions:
Li 0.0000 0.0000 0.0000
Re 0.3120 0.3120 0.0000
Ni 0.6598 0.6598 0.0000

The space group is I4mm. For the total magnetization, the calculation gives 0.00 μB per cell. As for the energy relative to the elements: 191 meV/atom.

=====

[2]
First-principles (PBE-GGA) data for crystalline LiReNi at its relaxed geometry, as listed in the Alexandria database.

Lattice parameters (Å, degrees): 3.6481 3.6481 6.4925 90.00 90.00 90.00
Fractional positions:
Li 0.2500 0.2500 0.1601
Li 0.7500 0.7500 0.8399
Re 0.2500 0.7500 0.5000
Re 0.7500 0.2500 0.5000
Ni 0.2500 0.2500 0.7763
Ni 0.7500 0.7500 0.2237

The space group is P4/nmm. For the total magnetization, the calculation gives 0.00 μB per cell. As for the energy relative to the elements: 314 meV/atom.

=====

[3]
First-principles (PBE-GGA) data for crystalline LiReNi at its relaxed geometry, as listed in the Alexandria database.

Lattice parameters (Å, degrees): 9.4528 8.8378 4.6474 82.76 68.05 29.19
Fractional positions:
Li 0.0481 0.0481 0.2019
Li 0.2019 0.2019 0.0481
Li 0.7981 0.7981 0.9519
Li 0.9519 0.9519 0.7981
Re 0.2066 0.5434 0.2066
Re 0.4566 0.7934 0.4566
Re 0.5434 0.2066 0.5434
Re 0.7934 0.4566 0.7934
Ni 0.2515 0.2515 0.4985
Ni 0.4985 0.4985 0.2515
Ni 0.5015 0.5015 0.7485
Ni 0.7485 0.7485 0.5015

The space group is Fddd. For the total magnetization, the calculation gives 0.00 μB per cell. As for the energy relative to the elements: 73 meV/atom.

=====

[4]
First-principles (PBE-GGA) data for crystalline LiReNi at its relaxed geometry, as listed in the Alexandria database.

Lattice parameters (Å, degrees): 4.5009 4.5009 4.5009 147.33 129.76 61.23
Fractional positions:
Li 0.0000 0.0000 0.0000
Re 0.3231 0.3231 0.0000
Ni 0.6646 0.6646 0.0000

The space group is Imm2. For the total magnetization, the calculation gives 0.00 μB per cell. As for the energy relative to the elements: 306 meV/atom.